Record 1
A plane-wave DFT calculation with PBE was carried out for a relaxed K3Rb5Cd2 crystal.

```
K3Rb5Cd2
1.0
-5.284 -2.095 0.421
3.401 -10.675 -10.453
4.630 -9.439 11.146
Rb K Cd
10 6 4
Cartesian
0.127 -8.285 -1.053 Rb
-0.942 -6.385 -5.016 Rb
-0.327 -5.767 5.783 Rb
1.249 -9.259 8.187 Rb
4.315 -18.169 2.313 Rb
-1.568 -4.040 -1.199 Rb
0.990 -9.520 3.629 Rb
1.498 -12.950 -7.073 Rb
1.757 -12.689 -2.515 Rb
2.620 -13.924 2.167 Rb
0.000 0.000 0.000 K
4.016 -10.057 0.347 K
5.925 -15.184 -1.200 K
3.069 -8.764 -5.108 K
2.106 -4.930 1.893 K
4.963 -11.350 5.802 K
1.853 -5.184 -2.541 Cd
6.178 -14.930 3.234 Cd
3.314 -7.221 5.659 Cd
4.717 -12.893 -4.966 Cd
```

**ρ**: 1.9 g cm⁻³
**Symmetry**: P4/mbm (127)
**Crystal system**: tetragonal
**Formation energy**: 0.02 eV per atom

---

Record 2
A plane-wave DFT calculation with PBE was carried out for a relaxed K5Rb12Cd3 crystal.

```
K5Rb12Cd3
1.0
-11.390 -3.138 17.249
-5.529 -13.882 -14.623
20.279 -2.340 4.518
Rb K Cd
48 20 12
Cartesian
-0.101 -12.441 -3.535 Rb
1.261 -3.266 8.043 Rb
11.851 -8.143 2.491 Rb
0.932 -5.544 4.473 Rb
-1.943 -11.437 2.065 Rb
0.943 -14.332 -10.240 Rb
-7.378 -10.701 -2.224 Rb
8.602 -13.837 0.145 Rb
5.303 -7.923 5.078 Rb
-8.491 -11.217 4.652 Rb
-5.243 -5.523 6.999 Rb
0.589 -16.128 6.544 Rb
10.988 -14.993 -4.110 Rb
10.709 -10.776 -4.541 Rb
6.096 -12.108 -5.982 Rb
-7.629 -4.367 11.254 Rb
2.032 -10.118 -0.690 Rb
6.041 -15.713 -3.735 Rb
6.852 -10.278 -1.377 Rb
-4.378 -7.595 0.322 Rb
6.197 -6.545 18.590 Rb
-13.133 -15.922 0.910 Rb
-3.493 -9.082 8.520 Rb
2.428 -13.816 2.671 Rb
13.551 -8.378 -1.394 Rb
-3.648 -15.893 6.728 Rb
-2.837 -12.815 -11.446 Rb
-7.349 -8.584 11.685 Rb
-9.230 -15.545 2.543 Rb
7.737 -11.765 6.821 Rb
-2.554 -5.936 -3.137 Rb
1.327 -9.242 7.834 Rb
16.493 -3.438 6.233 Rb
2.099 -16.094 -0.900 Rb
-2.730 -14.996 -0.116 Rb
2.771 -3.232 0.599 Rb
2.417 -5.028 17.384 Rb
-2.681 -3.647 10.879 Rb
-10.191 -10.981 8.538 Rb
-2.736 -7.251 13.126 Rb
10.738 -8.659 9.368 Rb
5.913 -13.423 10.281 Rb
12.590 -3.815 4.601 Rb
7.567 -9.081 12.162 Rb
-4.207 -10.279 -5.019 Rb
3.461 -6.919 10.679 Rb
6.089 -4.363 7.259 Rb
7.008 -3.467 0.416 Rb
7.375 -8.111 -5.053 K
4.444 -2.739 10.884 K
-8.460 -8.510 1.313 K
1.680 -9.680 3.572 K
-6.887 -14.693 -0.885 K
-5.151 -13.224 -7.918 K
-5.695 -1.569 8.625 K
1.573 -6.183 -2.198 K
-2.765 -6.941 -7.312 K
1.787 -13.177 9.342 K
8.510 -6.136 15.062 K
10.247 -4.667 8.029 K
-4.394 -11.907 5.491 K
7.753 -7.453 1.652 K
6.478 -14.420 3.766 K
0.000 0.000 0.000 K
-3.119 -4.940 3.377 K
2.034 -11.681 -7.117 K
1.326 -7.679 14.261 K
10.139 -1.170 2.259 K
11.441 -11.508 -0.874 Cd
14.938 -5.910 2.453 Cd
8.947 -14.294 -7.251 Cd
6.017 -8.922 8.685 Cd
-11.578 -13.450 4.690 Cd
4.066 -3.397 4.179 Cd
-0.896 -6.309 8.819 Cd
-5.588 -5.066 14.395 Cd
-8.081 -7.852 8.018 Cd
-0.706 -15.963 2.965 Cd
-2.657 -10.438 -1.542 Cd
4.256 -13.051 -1.676 Cd
```

**ρ**: 1.5 g cm⁻³
**Symmetry**: Ia-3d (230)
**Crystal system**: cubic
**Formation energy**: 0.17 eV per atom

---

Record 3
A plane-wave DFT calculation with PBE was carried out for a relaxed K3Rb7Cd crystal.

```
K3Rb7Cd
1.0
9.916 0.800 2.899
-0.403 9.940 2.899
-0.027 -0.030 8.737
Cd Rb K
1 7 3
Cartesian
-0.021 -0.024 7.029 Cd
7.365 8.315 10.518 Rb
6.751 0.914 3.510 Rb
0.092 6.812 3.510 Rb
3.033 10.181 11.809 Rb
9.740 4.240 11.809 Rb
2.265 2.557 4.911 Rb
5.425 6.126 5.568 Rb
1.953 7.998 7.812 K
4.279 4.831 10.033 K
7.704 2.905 7.812 K
```

**ρ**: 1.6 g cm⁻³
**Symmetry**: Cm (8)
**Crystal system**: monoclinic
**Formation energy**: 0.02 eV per atom

---

Record 4
A plane-wave DFT calculation with PBE was carried out for a relaxed K16Rb12Cd crystal.

```
K16Rb12Cd
1.0
-2.432 14.345 -3.646
-8.288 -9.506 -8.120
-2.840 -1.758 13.085
K Cd Rb
16 1 12
Cartesian
-5.410 -5.046 5.516 K
-4.978 1.139 0.444 K
-6.791 -0.621 -6.751 K
-5.197 5.869 -5.533 K
-10.374 6.389 4.333 K
-7.654 -3.198 -3.067 K
-7.642 -2.527 1.989 K
-5.120 7.122 -1.131 K
-3.130 8.909 2.633 K
-2.947 -1.691 12.870 K
-3.016 4.702 7.345 K
-5.836 4.831 3.369 K
-12.460 -2.109 2.738 K
-5.844 0.398 5.525 K
-2.042 -1.059 8.317 K
-7.000 -6.855 -0.324 K
-6.218 2.133 -3.230 Cd
-9.400 0.321 -1.486 Rb
-9.670 1.782 3.157 Rb
-1.677 5.054 1.277 Rb
-3.865 -3.858 -0.395 Rb
-9.316 -6.611 3.522 Rb
-9.631 -7.680 -3.894 Rb
-8.384 4.457 -0.710 Rb
-2.596 3.557 -2.926 Rb
-4.802 11.992 -0.203 Rb
-3.659 -0.771 -3.738 Rb
-5.624 8.428 6.343 Rb
-8.837 3.251 -5.765 Rb
```

**ρ**: 1.3 g cm⁻³
**Symmetry**: Cm (8)
**Crystal system**: monoclinic
**Formation energy**: 0.03 eV per atom

---

Record 5
A plane-wave DFT calculation with PBE was carried out for a relaxed K12Rb3Cd crystal.

```
K12Rb3Cd
1.0
6.646 0.000 0.000
0.000 6.646 0.000
0.000 0.000 25.424
K Rb Cd
12 3 1
Cartesian
0.000 3.323 9.298 K
3.323 0.000 22.948 K
0.000 3.323 16.126 K
3.323 0.000 2.476 K
3.323 0.000 9.298 K
0.000 3.323 2.476 K
3.323 3.323 5.898 K
3.323 3.323 19.526 K
3.323 3.323 0.000 K
0.000 3.323 22.948 K
3.323 3.323 12.712 K
3.323 0.000 16.126 K
0.000 0.000 12.712 Rb
0.000 0.000 19.544 Rb
0.000 0.000 5.880 Rb
0.000 0.000 0.000 Cd
```

**ρ**: 1.2 g cm⁻³
**Symmetry**: P4/mmm (123)
**Crystal system**: tetragonal
**Formation energy**: 0.01 eV per atom

---

Record 6
A plane-wave DFT calculation with PBE was carried out for a relaxed K16RbCd12 crystal.

```
K16RbCd12
1.0
11.152 -0.075 -3.790
-5.572 9.661 -3.790
-0.019 -0.032 11.340
K Cd Rb
16 12 1
Cartesian
-3.776 6.539 2.261 K
7.551 -0.055 2.261 K
0.057 5.617 3.322 K
-0.721 6.721 -0.453 K
6.201 2.692 -0.453 K
5.780 3.828 7.058 K
-0.004 -0.007 7.247 K
-0.013 -0.022 11.265 K
-0.961 9.600 2.494 K
1.785 3.067 1.229 K
7.337 6.536 -6.363 K
8.823 3.904 2.494 K
2.060 9.608 -6.363 K
1.809 3.108 6.068 K
0.475 6.916 7.058 K
4.856 2.823 3.322 K
-2.834 8.019 5.577 Cd
3.693 6.344 4.517 Cd
2.783 7.942 1.800 Cd
8.372 1.495 5.577 Cd
-1.838 3.223 0.742 Cd
4.664 8.011 -4.276 Cd
5.533 6.342 1.800 Cd
2.794 1.510 9.383 Cd
-0.067 3.175 9.383 Cd
1.887 -0.003 3.332 Cd
-0.935 1.640 3.332 Cd
3.710 -0.006 0.742 Cd
3.227 5.543 -1.446 Rb
```

**ρ**: 2.8 g cm⁻³
**Symmetry**: Cm (8)
**Crystal system**: monoclinic
**Formation energy**: -0.01 eV per atom

---

Record 7
A plane-wave DFT calculation with PBE was carried out for a relaxed KRbCd5 crystal.

```
KRbCd5
1.0
6.225 0.000 0.000
0.000 10.976 0.000
0.000 0.000 13.431
Cd K Rb
20 4 4
Cartesian
3.160 4.655 2.325 Cd
4.669 5.917 8.598 Cd
1.556 10.547 1.882 Cd
4.669 0.429 11.549 Cd
1.556 5.059 4.833 Cd
1.556 7.707 3.004 Cd
3.160 10.143 4.391 Cd
6.177 4.655 2.325 Cd
3.065 0.833 9.040 Cd
4.669 3.269 10.427 Cd
1.556 0.784 6.412 Cd
4.669 10.192 7.019 Cd
1.556 2.219 3.712 Cd
0.048 0.833 9.040 Cd
4.669 4.704 13.128 Cd
3.065 6.321 11.106 Cd
1.556 6.272 0.303 Cd
0.048 6.321 11.106 Cd
4.669 8.757 9.719 Cd
6.177 10.143 4.391 Cd
4.669 8.270 0.938 K
1.556 2.706 12.493 K
4.669 2.782 5.778 K
1.556 8.194 7.653 K
1.556 4.075 8.347 Rb
1.556 9.563 11.799 Rb
4.669 1.413 1.632 Rb
4.669 6.901 5.084 Rb
```

**ρ**: 5.0 g cm⁻³
**Symmetry**: Pnma (62)
**Crystal system**: orthorhombic
**Formation energy**: -0.05 eV per atom

---

Record 8
A plane-wave DFT calculation with PBE was carried out for a relaxed K2RbCd crystal.

```
K2RbCd
1.0
-0.270 4.519 1.803
-2.173 3.523 -2.571
-11.584 -0.083 5.059
Rb K Cd
1 2 1
Cartesian
-7.008 3.981 2.143 Rb
-2.783 2.176 0.716 K
-9.616 0.422 4.088 K
-1.632 5.361 -0.510 Cd
```

**ρ**: 1.8 g cm⁻³
**Relative energy among the computed polymorphs**: 43.1 meV per atom
**Symmetry**: R3m (160)
**Crystal system**: trigonal
**Formation energy**: 0.05 eV per atom

---

Record 9
A plane-wave DFT calculation with PBE was carried out for a relaxed K2Rb8Cd crystal.

```
K2Rb8Cd
1.0
1.035 -3.742 -6.329
-4.516 -7.421 3.650
-10.491 7.356 -1.708
K Rb Cd
2 8 1
Cartesian
-9.942 -4.367 -3.398 K
-4.030 0.559 -0.989 K
-9.998 1.674 -6.980 Rb
-3.974 -5.482 2.592 Rb
-6.695 -1.373 -4.638 Rb
-7.277 -2.435 0.250 Rb
-11.074 0.024 -1.825 Rb
-6.440 -6.903 -1.327 Rb
-2.898 -3.832 -2.563 Rb
-7.532 3.095 -3.061 Rb
0.517 -1.871 -3.165 Cd
```

**ρ**: 1.7 g cm⁻³
**Relative energy among the computed polymorphs**: 0.0 meV per atom
**Symmetry**: C2/m (12)
**Crystal system**: monoclinic
**Formation energy**: 0.01 eV per atom

---

Record 10
A plane-wave DFT calculation with PBE was carried out for a relaxed K8Rb2Cd crystal.

```
K8Rb2Cd
1.0
-6.237 -2.583 2.287
3.977 -2.852 7.625
1.344 11.159 5.162
Rb K Cd
2 8 1
Cartesian
-1.531 2.439 9.687 Rb
0.615 3.285 5.387 Rb
2.240 4.547 11.246 K
-3.699 4.954 6.614 K
2.783 0.770 8.460 K
-3.156 1.177 3.828 K
-1.754 5.940 13.036 K
0.047 7.176 8.234 K
-0.964 -1.452 6.840 K
0.837 -0.216 2.038 K
-3.118 -1.292 1.143 Cd
```

**ρ**: 1.3 g cm⁻³
**Symmetry**: C2/m (12)
**Crystal system**: monoclinic
**Formation energy**: 0.01 eV per atom

---

Record 11
A plane-wave DFT calculation with PBE was carried out for a relaxed K5RbCd crystal.

```
K5RbCd
1.0
-4.588 3.022 3.245
3.055 -1.230 5.465
5.706 9.735 -1.000
K Cd Rb
5 1 1
Cartesian
1.600 8.155 0.940 K
-0.766 0.896 4.355 K
5.422 6.029 2.050 K
-0.482 4.602 1.305 K
3.339 2.476 2.415 K
2.853 4.867 -0.500 Cd
0.000 0.000 0.000 Rb
```

**ρ**: 1.4 g cm⁻³
**Symmetry**: P4/mmm (123)
**Crystal system**: tetragonal
**Formation energy**: 0.02 eV per atom

---

Record 12
A plane-wave DFT calculation with PBE was carried out for a relaxed K7RbCd2 crystal.

```
K7RbCd2
1.0
6.166 0.000 -1.186
-0.228 6.161 -1.186
-0.051 -0.053 16.348
K Cd Rb
7 2 1
Cartesian
4.541 1.514 6.988 K
3.760 0.702 2.924 K
2.127 5.406 11.052 K
2.969 3.081 -1.186 K
1.345 4.594 6.988 K
0.563 3.783 2.924 K
5.323 2.325 11.052 K
1.869 1.939 9.711 Cd
4.017 4.169 4.264 Cd
0.000 0.000 0.000 Rb
```

**ρ**: 1.6 g cm⁻³
**Symmetry**: I4/mmm (139)
**Crystal system**: tetragonal
**Formation energy**: 0.02 eV per atom

---

no.,calculated volume (Å³/cell)
1,1338.2
2,7035.2
3,865.6
4,2269.1
5,1123.0
6,1214.4
7,917.7
8,253.4
9,860.5
10,759.3
11,461.2
12,620.3